Compound: La3Tb4Nd2
Source: Alexandria via LeMat-Bulk
Functional: PBE-GGA
Structure: relaxed

abc: 5.169 8.157 15.025
angles: 144.32 90.00 108.47
Positions (direct):
La: 0.553 0.105 0.665
La: 0.000 0.000 0.000
La: 0.447 0.895 0.335
Tb: 0.669 0.339 0.001
Tb: 0.331 0.661 0.999
Tb: 0.891 0.781 0.669
Tb: 0.109 0.219 0.331
Nd: 0.774 0.548 0.331
Nd: 0.226 0.452 0.669

* E above lowest polymorph: 0 meV per atom
* E_tot: -4.734 eV/atom
* total magnetization: 0.000 μB per cell
* crystal system: monoclinic
* energy of formation: 0.03 eV/atom

Compound: LaTb5Nd3
Source: Alexandria via LeMat-Bulk
Functional: PBE-GGA
Structure: relaxed

abc: 6.401 12.399 11.475
angles: 132.21 90.00 104.96
Positions (direct):
La: 0.864 0.000 0.750
La: 0.136 0.000 0.250
Tb: 0.396 0.000 0.750
Tb: 0.653 0.660 0.040
Tb: 0.884 0.346 0.128
Tb: 0.347 0.340 0.960
Tb: 0.538 0.654 0.372
Tb: 0.604 0.000 0.250
Tb: 0.008 0.660 0.540
Tb: 0.992 0.340 0.460
Tb: 0.462 0.346 0.628
Tb: 0.116 0.654 0.872
Nd: 0.000 0.000 0.000
Nd: 0.478 0.318 0.300
Nd: 0.000 0.000 0.500
Nd: 0.522 0.682 0.700
Nd: 0.840 0.318 0.800
Nd: 0.160 0.682 0.200

* E above lowest polymorph: 0 meV per atom
* E_tot: -4.421 eV/atom
* total magnetization: 0.000 μB per cell
* crystal system: monoclinic
* energy of formation: 0.29 eV/atom

Compound: La3Tb5Nd4
Source: Alexandria via LeMat-Bulk
Functional: PBE-GGA
Structure: relaxed

abc: 6.061 8.706 9.855
angles: 105.72 72.09 69.63
Positions (direct):
La: 0.519 0.689 0.273
La: 0.000 0.500 0.500
La: 0.481 0.311 0.727
Tb: 0.625 0.947 0.803
Tb: 0.500 0.500 0.500
Tb: 0.218 0.454 0.109
Tb: 0.782 0.546 0.891
Tb: 0.375 0.053 0.197
Nd: 0.860 0.224 0.057
Nd: 0.171 0.036 0.623
Nd: 0.829 0.964 0.377
Nd: 0.140 0.776 0.943

* E above lowest polymorph: 198 meV per atom
* E_tot: -4.534 eV/atom
* total magnetization: 0.038 μB per cell
* crystal system: monoclinic
* energy of formation: 0.22 eV/atom